Record 1
Density functional theory data (PBE) for an optimized crystal structure of La4Y2Er5.

Cell: 10.0405 10.0405 6.6920 Å, 90.85 90.85 33.03°
Last column: nearest neighbours and their distance in Å.
Sites, in units of the cell vectors:
La: 0.0210 0.0210 0.2914  1 La 2.92, 1 Er 3.11
La: 0.3072 0.3072 0.9284  7 Er 3.35-3.74, 2 La 3.74
La: 0.6928 0.6928 0.0716  7 Er 3.35-3.74, 2 La 3.74
La: 0.9790 0.9790 0.7086  1 La 2.92, 1 Er 3.11
Y: 0.4009 0.4009 0.4414  6 Er 3.54-3.72, 6 La 3.68-3.85, 1 Y 3.88
Y: 0.5991 0.5991 0.5586  6 Er 3.54-3.72, 6 La 3.68-3.85, 1 Y 3.88
Er: 0.1300 0.1300 0.8807  5 La 3.11-3.48
Er: 0.2098 0.2098 0.4037  4 Er 3.48-3.80, 4 La 3.63-3.72, 3 Y 3.68-3.72
Er: 0.5000 0.5000 0.0000  6 La 3.48-3.74, 2 Y 3.54, 4 Er 3.89
Er: 0.7902 0.7902 0.5963  4 Er 3.48-3.80, 4 La 3.63-3.72, 3 Y 3.68-3.72
Er: 0.8700 0.8700 0.1193  5 La 3.11-3.48

Computed properties:
SG = No. 12

Record 2
Density functional theory data (PBE) for an optimized crystal structure of Fe2CoOs.

Cell: 2.5909 3.5701 5.0829 Å, 90.00 90.00 90.00°
Last column: nearest neighbours and their distance in Å.
Sites, in units of the cell vectors:
Fe: 0.0000 0.0000 0.0000  4 Co 2.51, 2 Os 2.54, 6 Fe 2.56-2.59
Fe: 0.5000 0.5000 0.2554  2 Co 2.51-2.58, 4 Os 2.53, 6 Fe 2.56-2.59
Co: 0.5000 0.5000 0.7625  6 Fe 2.51-2.58, 4 Os 2.58, 2 Co 2.59
Os: 0.0000 0.0000 0.5001  6 Fe 2.53-2.54, 4 Co 2.58, 2 Os 2.59

Computed properties:
SG = No. 25

Record 3
Density functional theory data (PBE) for an optimized crystal structure of Li2Nb2Os.

Cell: 5.8422 5.8422 5.8422 Å, 142.73 142.73 53.73°
Last column: nearest neighbours and their distance in Å.
Sites, in units of the cell vectors:
Li: 0.0799 0.0799 0.0000  1 Li 1.66
Li: 0.9201 0.9201 0.0000  1 Li 1.66
Nb: 0.2500 0.7500 0.5000  4 Li 2.57, 4 Nb 2.64
Nb: 0.7500 0.2500 0.5000  4 Li 2.57, 4 Nb 2.64
Os: 0.5000 0.5000 0.0000  8 Li 2.77

Computed properties:
SG = No. 139

Record 4
Density functional theory data (PBE) for an optimized crystal structure of Mo2RhW.

Cell: 2.7202 4.4711 5.1868 Å, 90.00 98.03 90.00°
Last column: nearest neighbours and their distance in Å.
Sites, in units of the cell vectors:
Mo: 0.0000 0.0000 0.0000  2 W 2.72-2.79, 4 Mo 2.72-2.73, 4 Rh 2.86-2.94
Mo: 0.2336 0.5000 0.7405  3 Rh 2.65-2.90, 2 W 2.72, 4 Mo 2.72-2.73
Rh: 0.5952 0.5000 0.2425  2 W 2.64, 7 Mo 2.65-2.94, 2 Rh 2.72
W: 0.5191 0.0000 0.5038  2 Rh 2.64, 4 Mo 2.72-2.79, 2 W 2.72

Computed properties:
SG = No. 6

| no. | energy (eV/atom) | total magnetization (μB per cell) | formation enthalpy at 0 K (eV per formula unit) |
| --- | --- | --- | --- |
| 1 | -4.95 | 0.0 | 1.00 |
| 2 | -8.70 | 2.5 | 0.48 |
| 3 | -6.30 | 0.0 | 3.68 |
| 4 | -10.44 | 0.0 | 0.20 |